<i>
Dy2ScTl after structural relaxation, computed with PBE.

Cell: 3.5081 3.5081 10.9053 Å, 80.74 80.74 60.00°
Element x y z (fractional)
Dy  0.2500  0.2500  0.2499
Dy  0.0833  0.0833  0.7500
Sc  0.4999  0.4999  0.5002
Tl  0.6667  0.6667  0.9999

Summary:
* volume: 28.55 A^3/atom
* density of states at the Fermi level: 5.39 states/eV/cell
* crystal system: trigonal


<ii>
Dy2ScTl after structural relaxation, computed with PBE.

Cell: 3.4672 3.4672 11.8993 Å, 81.62 81.62 60.00°
Element x y z (fractional)
Tl  0.0000  0.0000  0.0000
Dy  0.0913  0.0913  0.7262
Dy  0.9087  0.9087  0.2738
Sc  0.5000  0.5000  0.5000

Summary:
* volume: 30.53 A^3/atom
* density of states at the Fermi level: 4.18 states/eV/cell
* crystal system: trigonal


<iii>
Dy2ScTl after structural relaxation, computed with PBE.

Cell: 5.2539 6.5172 6.5989 Å, 100.03 90.00 90.00°
Element x y z (fractional)
Sc  0.2500  0.4151  0.5728
Sc  0.7500  0.5849  0.4272
Dy  0.2500  0.9309  0.6516
Dy  0.7500  0.0691  0.3484
Dy  0.2500  0.7021  0.1338
Dy  0.7500  0.2979  0.8662
Tl  0.2500  0.2198  0.1258
Tl  0.7500  0.7802  0.8742

Summary:
* volume: 27.81 A^3/atom
* density of states at the Fermi level: 7.76 states/eV/cell
* crystal system: monoclinic


Which is more stable than every other structure shown? <iii> is more stable than every other one.